# PaMnN2O

Crystalline PaMnN2O at its relaxed geometry (PBE with a Hubbard U, the Alexandria database).

Results
Total DFT energy (no corrections)   -8.91 eV/atom
Space-group type   Cmcm, No. 63

Lattice parameters (Å, degrees): 5.0769 5.0769 7.1766 90.00 90.00 142.92
Closest atoms and distances in Å follow each position.
Sites, in units of the cell vectors:
Pa: 0.2418 0.7582 0.7500  2 O 2.35, 6 N 2.38-2.49
Pa: 0.7582 0.2418 0.2500  2 O 2.35, 6 N 2.38-2.49
Mn: 0.0000 0.0000 0.0000  2 O 1.96, 4 N 2.11
Mn: 0.0000 0.0000 0.5000  2 O 1.96, 4 N 2.11
N: 0.3654 0.6346 0.0542  2 Mn 2.11
N: 0.3654 0.6346 0.4458  2 Mn 2.11
N: 0.6346 0.3654 0.5542  2 Mn 2.11
N: 0.6346 0.3654 0.9458  2 Mn 2.11
O: 0.0809 0.9191 0.2500  2 Mn 1.96
O: 0.9191 0.0809 0.7500  2 Mn 1.96